(1)
# DyAg3 | OQMD via LeMat-Bulk | GGA-PBE | relaxed
# Energy relative to the elements: -0.27 eV per atom
# Space group: Pmmn, No. 59
data_DyAg3
_chemical_formula_sum 'Dy2 Ag6'
_symmetry_space_group_name_H-M 'P 1'
_symmetry_Int_Tables_number 1
_cell_length_a 5.028
_cell_length_b 6.119
_cell_length_c 5.223
_cell_angle_alpha 90.00
_cell_angle_beta 90.00
_cell_angle_gamma 90.00
loop_
_symmetry_equiv_pos_as_xyz
'x,y,z'
loop_
_atom_site_label
_atom_site_type_symbol
_atom_site_fract_x
_atom_site_fract_y
_atom_site_fract_z
Dy1 Dy 0.250 0.250 0.153
Dy2 Dy 0.750 0.750 0.847
Ag1 Ag 0.250 0.504 0.659
Ag2 Ag 0.250 0.750 0.175
Ag3 Ag 0.250 0.996 0.659
Ag4 Ag 0.750 0.004 0.341
Ag5 Ag 0.750 0.250 0.825
Ag6 Ag 0.750 0.496 0.341

=====

(2)
# PrAsW | OQMD via LeMat-Bulk | GGA-PBE | relaxed
# Distance to the lowest polymorph of the same formula: 0.0 meV/atom
# Space group: F-43m, No. 216
data_PrAsW
_chemical_formula_sum 'Pr1 As1 W1'
_symmetry_space_group_name_H-M 'P 1'
_symmetry_Int_Tables_number 1
_cell_length_a 4.633
_cell_length_b 4.633
_cell_length_c 4.633
_cell_angle_alpha 60.00
_cell_angle_beta 60.00
_cell_angle_gamma 60.00
loop_
_symmetry_equiv_pos_as_xyz
'x,y,z'
loop_
_atom_site_label
_atom_site_type_symbol
_atom_site_fract_x
_atom_site_fract_y
_atom_site_fract_z
Pr1 Pr 0.000 0.000 0.000
As1 As 0.250 0.250 0.250
W1 W 0.500 0.500 0.500

=====

(3)
# NaNdBe | OQMD via LeMat-Bulk | GGA-PBE | relaxed
# Total DFT energy (no corrections): -8.1 eV/cell
# Space group: F-43m, No. 216
data_NaNdBe
_chemical_formula_sum 'Na1 Nd1 Be1'
_symmetry_space_group_name_H-M 'P 1'
_symmetry_Int_Tables_number 1
_cell_length_a 4.813
_cell_length_b 4.813
_cell_length_c 4.813
_cell_angle_alpha 60.00
_cell_angle_beta 60.00
_cell_angle_gamma 60.00
loop_
_symmetry_equiv_pos_as_xyz
'x,y,z'
loop_
_atom_site_label
_atom_site_type_symbol
_atom_site_fract_x
_atom_site_fract_y
_atom_site_fract_z
Na1 Na 0.000 0.000 0.000
Nd1 Nd 0.500 0.500 0.500
Be1 Be 0.250 0.250 0.250